*a*
A relaxed structure of TiSb2IN. Source: the Alexandria database, functional PBEsol.

Cell: 4.6352 4.6352 4.7684 Å, 90.00 90.00 90.00°
Last column: nearest neighbours and their distance in Å.
Fractional coordinates of all 5 atoms:
Ti1 0.0000 0.0000 0.0000  4 I 3.28, 8 Sb 3.32
Sb1 0.0000 0.5000 0.5000  2 N 2.32
Sb2 0.5000 0.0000 0.5000  2 N 2.32
I1 0.5000 0.5000 0.0000  2 N 2.38
N1 0.5000 0.5000 0.5000  4 Sb 2.32, 2 I 2.38

Size of the total moment in μB per atom: 0.20



*b*
A relaxed structure of TiSb2IN. Source: the Alexandria database, functional PBEsol.

Cell: 5.1923 5.1923 5.4581 Å, 90.00 90.00 90.00°
Last column: nearest neighbours and their distance in Å.
Fractional coordinates of all 5 atoms:
Ti1 0.0000 0.0000 0.0000  4 Sb 2.60, 2 I 2.73
Sb1 0.0000 0.5000 0.0000  2 Ti 2.60
Sb2 0.5000 0.0000 0.0000  2 Ti 2.60
I1 0.0000 0.0000 0.5000  2 Ti 2.73
N1 0.5000 0.5000 0.5000  4 I 3.67, 8 Sb 3.77

Size of the total moment in μB per atom: 0.54



Relative energies, kJ/mol of atoms: *a* 0.0; *b* 44.5.



*a*
A relaxed structure of TlSbI2N. Source: the Alexandria database, functional PBEsol.

Cell: 6.1140 6.1140 5.7275 Å, 90.00 90.00 90.00°
Last column: nearest neighbours and their distance in Å.
Fractional coordinates of all 5 atoms:
Tl1 0.0000 0.0000 0.0000  2 Sb 2.86, 4 I 3.06
Sb1 0.0000 0.0000 0.5000  2 Tl 2.86
I1 0.0000 0.5000 0.0000  2 Tl 3.06
I2 0.5000 0.0000 0.0000  2 Tl 3.06
N1 0.5000 0.5000 0.5000  8 I 4.19, 4 Sb 4.32

Size of the total moment in μB per atom: 0.89



*b*
A relaxed structure of TlSbI2N. Source: the Alexandria database, functional PBEsol.

Cell: 6.2073 6.2073 3.9786 Å, 90.00 90.00 90.00°
Last column: nearest neighbours and their distance in Å.
Fractional coordinates of all 5 atoms:
Tl1 0.0000 0.0000 0.0000  8 I 3.69, 2 Tl 3.98
Sb1 0.5000 0.5000 0.5000  2 N 1.99
I1 0.0000 0.5000 0.5000  2 Sb 3.10
I2 0.5000 0.0000 0.5000  2 Sb 3.10
N1 0.5000 0.5000 0.0000  2 Sb 1.99

Size of the total moment in μB per atom: 0.00



*c*
A relaxed structure of TlSbI2N. Source: the Alexandria database, functional PBEsol.

Cell: 5.7112 5.7112 4.2473 Å, 90.00 90.00 90.00°
Last column: nearest neighbours and their distance in Å.
Fractional coordinates of all 5 atoms:
Tl1 0.0000 0.0000 0.0000  8 I 3.56
Sb1 0.5000 0.5000 0.0000  2 N 2.12
I1 0.0000 0.5000 0.5000  2 N 2.86
I2 0.5000 0.0000 0.5000  2 N 2.86
N1 0.5000 0.5000 0.5000  2 Sb 2.12

Size of the total moment in μB per atom: 0.00



Relative energies, kJ/mol of atoms: *a* 109.0; *b* 0.0; *c* 28.3.



*a*
A relaxed structure of ZrTeI2N. Source: the Alexandria database, functional PBEsol.

Cell: 6.0439 6.0439 3.8970 Å, 90.00 90.00 90.00°
Last column: nearest neighbours and their distance in Å.
Fractional coordinates of all 5 atoms:
Zr1 0.0000 0.0000 0.0000  8 I 3.60, 2 Zr 3.90
Te1 0.5000 0.5000 0.5000  2 N 1.95
I1 0.0000 0.5000 0.5000  2 Te 3.02
I2 0.5000 0.0000 0.5000  2 Te 3.02
N1 0.5000 0.5000 0.0000  2 Te 1.95

Size of the total moment in μB per atom: 0.45



*b*
A relaxed structure of ZrTeI2N. Source: the Alexandria database, functional PBEsol.

Cell: 5.7259 5.7259 5.4906 Å, 90.00 90.00 90.00°
Last column: nearest neighbours and their distance in Å.
Fractional coordinates of all 5 atoms:
Zr1 0.0000 0.0000 0.0000  2 Te 2.75, 4 I 2.86
Te1 0.0000 0.0000 0.5000  2 Zr 2.75
I1 0.0000 0.5000 0.0000  2 Zr 2.86
I2 0.5000 0.0000 0.0000  2 Zr 2.86
N1 0.5000 0.5000 0.5000  8 I 3.97, 4 Te 4.05

Size of the total moment in μB per atom: 0.60



Relative energies, kJ/mol of atoms: *a* 30.7; *b* 0.0.



*a*
A relaxed structure of ZrI2N. Source: the Alexandria database, functional PBEsol.

Cell: 6.9804 6.9804 6.9804 Å, 90.00 90.00 90.00°
Last column: nearest neighbours and their distance in Å.
Fractional coordinates of all 16 atoms:
Zr1 0.0000 0.0000 0.0000  8 I 3.02
Zr2 0.0000 0.5000 0.5000  8 I 3.02
Zr3 0.5000 0.0000 0.5000  8 I 3.02
Zr4 0.5000 0.5000 0.0000  8 I 3.02
I1 0.2500 0.2500 0.2500  4 Zr 3.02, 4 N 3.02
I2 0.2500 0.2500 0.7500  4 Zr 3.02, 4 N 3.02
I3 0.2500 0.7500 0.2500  4 Zr 3.02, 4 N 3.02
I4 0.2500 0.7500 0.7500  4 Zr 3.02, 4 N 3.02
I5 0.7500 0.2500 0.2500  4 Zr 3.02, 4 N 3.02
I6 0.7500 0.2500 0.7500  4 Zr 3.02, 4 N 3.02
I7 0.7500 0.7500 0.2500  4 Zr 3.02, 4 N 3.02
I8 0.7500 0.7500 0.7500  4 Zr 3.02, 4 N 3.02
N1 0.0000 0.0000 0.5000  8 I 3.02
N2 0.0000 0.5000 0.0000  8 I 3.02
N3 0.5000 0.0000 0.0000  8 I 3.02
N4 0.5000 0.5000 0.5000  8 I 3.02

Size of the total moment in μB per atom: 0.25



*b*
A relaxed structure of ZrI2N. Source: the Alexandria database, functional PBEsol.

Cell: 6.2074 6.2074 10.9347 Å, 90.00 90.00 90.00°
Last column: nearest neighbours and their distance in Å.
Fractional coordinates of all 16 atoms:
Zr1 0.0000 0.0000 0.0000  4 I 2.77
Zr2 0.0000 0.5000 0.2500  4 I 2.77
Zr3 0.5000 0.0000 0.7500  4 I 2.77
Zr4 0.5000 0.5000 0.5000  4 I 2.77
I1 0.2034 0.7500 0.6250  2 N 2.42
I2 0.2500 0.2034 0.3750  2 N 2.42
I3 0.2500 0.2966 0.8750  2 N 2.42
I4 0.2966 0.7500 0.1250  2 N 2.42
I5 0.7034 0.2500 0.1250  2 N 2.42
I6 0.7500 0.7034 0.8750  2 N 2.42
I7 0.7500 0.7966 0.3750  2 N 2.42
I8 0.7966 0.2500 0.6250  2 N 2.42
N1 0.0000 0.0000 0.5000  4 I 2.42
N2 0.0000 0.5000 0.7500  4 I 2.42
N3 0.5000 0.0000 0.2500  4 I 2.42
N4 0.5000 0.5000 0.0000  4 I 2.42

Size of the total moment in μB per atom: 0.00



Relative energies, kJ/mol of atoms: *a* 0.0; *b* 32.3.



*a*
A relaxed structure of NaPIO2. Source: the Alexandria database, functional PBEsol.

Cell: 3.7518 3.7518 5.6425 Å, 90.00 90.00 90.00°
Last column: nearest neighbours and their distance in Å.
Fractional coordinates of all 5 atoms:
Na1 0.0000 0.0000 0.0000  4 I 2.65
P1 0.5000 0.5000 0.5000  4 O 1.88
I1 0.5000 0.5000 0.0000  4 Na 2.65, 2 P 2.82
O1 0.0000 0.5000 0.5000  2 P 1.88
O2 0.5000 0.0000 0.5000  2 P 1.88

Size of the total moment in μB per atom: 0.00



*b*
A relaxed structure of NaPIO2. Source: the Alexandria database, functional PBEsol.

Cell: 4.1287 4.1287 6.0577 Å, 90.00 90.00 90.00°
Last column: nearest neighbours and their distance in Å.
Fractional coordinates of all 5 atoms:
Na1 0.0000 0.0000 0.0000  4 O 2.06
P1 0.5000 0.5000 0.5000  4 I 2.92
I1 0.0000 0.0000 0.5000  4 P 2.92, 2 Na 3.03
O1 0.0000 0.5000 0.0000  2 Na 2.06
O2 0.5000 0.0000 0.0000  2 Na 2.06

Size of the total moment in μB per atom: 0.68



Relative energies, kJ/mol of atoms: *a* 0.0; *b* 138.3.



*a*
A relaxed structure of NiI2O6. Source: the Alexandria database, functional PBEsol.

Cell: 5.7607 5.7607 4.9227 Å, 90.00 90.00 120.00°
Last column: nearest neighbours and their distance in Å.
Fractional coordinates of all 9 atoms:
Ni1 0.0000 0.0000 0.0000  6 O 2.04
I1 0.3333 0.6667 0.9677  3 O 1.84
I2 0.6667 0.3333 0.0323  3 O 1.84
O1 0.1733 0.3466 0.7813  1 I 1.84, 1 Ni 2.04
O2 0.1733 0.8267 0.7813  1 I 1.84, 1 Ni 2.04
O3 0.3466 0.1733 0.2187  1 I 1.84, 1 Ni 2.04
O4 0.6534 0.8267 0.7813  1 I 1.84, 1 Ni 2.04
O5 0.8267 0.1733 0.2187  1 I 1.84, 1 Ni 2.04
O6 0.8267 0.6534 0.2187  1 I 1.84, 1 Ni 2.04

Size of the total moment in μB per atom: 0.21



*b*
A relaxed structure of NiI2O6. Source: the Alexandria database, functional PBEsol.

Cell: 5.3603 4.9529 9.2037 Å, 90.00 90.09 90.00°
Last column: nearest neighbours and their distance in Å.
Fractional coordinates of all 18 atoms:
Ni1 0.2321 0.0000 0.2466  6 O 1.99-2.05
Ni2 0.7679 0.5000 0.7534  6 O 1.99-2.05
I1 0.2620 0.4412 0.5690  3 O 1.86
I2 0.2681 0.9229 0.9018  3 O 1.85-1.86
I3 0.7319 0.4229 0.0982  3 O 1.85-1.86
I4 0.7380 0.9412 0.4310  3 O 1.86
O1 0.0232 0.7557 0.3749  1 I 1.86, 1 Ni 2.03
O2 0.0911 0.7081 0.7711  1 I 1.86, 1 Ni 2.02
O3 0.1422 0.7770 0.0713  1 I 1.85, 1 Ni 2.01
O4 0.3492 0.2059 0.4193  1 I 1.86, 1 Ni 1.99
O5 0.4379 0.2216 0.1013  1 I 1.86, 1 Ni 2.05
O6 0.4699 0.2721 0.7028  1 I 1.86, 1 Ni 2.01
O7 0.5301 0.7721 0.2972  1 I 1.86, 1 Ni 2.01
O8 0.5621 0.7216 0.8987  1 I 1.86, 1 Ni 2.05
O9 0.6508 0.7059 0.5807  1 I 1.86, 1 Ni 1.99
O10 0.8578 0.2770 0.9287  1 I 1.85, 1 Ni 2.01
O11 0.9089 0.2081 0.2289  1 I 1.86, 1 Ni 2.02
O12 0.9768 0.2557 0.6251  1 I 1.86, 1 Ni 2.03

Size of the total moment in μB per atom: 0.23



Relative energies, kJ/mol of atoms: *a* 16.0; *b* 0.0.